The following is a DFT calculation (GGA-PBE) of crystalline MgMn2Ni at its relaxed geometry.

Cell: 4.2169 4.2169 4.2169 Å, 60.00 60.00 60.00°
Last column: magnetic moment on the atom in μB.
Element x y z (fractional)
Mn1 0.0000 0.0000 0.0000  3.32
Ni1 0.7500 0.7500 0.7500  0.51
Mg1 0.5000 0.5000 0.5000  0.00
Mn2 0.2500 0.2500 0.2500  -2.47

## Properties
Its space group is F-43m, No. 216. Its electronic total energy is -25.3 eV per formula unit. For the formation energy, the calculation gives 0.092 eV per atom. The calculation puts the density of states at the Fermi level at 0.901 states/eV per atom.